First-principles (PBE-GGA) data for crystalline Np2As2Pd at its relaxed geometry, as listed in Alexandria.

Computed properties:
total energy	-42.3	eV/f.u.
theoretical density	12.1	g/cm3
energy of formation from the pure elements	-0.377	eV per atom

The structure in CIF format:
```
data_Np2As2Pd
_cell_length_a 3.732
_cell_length_b 13.575
_cell_length_c 3.972
_cell_angle_alpha 90.00
_cell_angle_beta 90.00
_cell_angle_gamma 90.00
_symmetry_space_group_name_H-M 'P b a m'
_symmetry_Int_Tables_number 55
_symmetry_space_group_name_Hall '-P 2 2ab'
loop_
_atom_site_label
_atom_site_type_symbol
_atom_site_fract_x
_atom_site_fract_y
_atom_site_fract_z
Np1 Np 0.003 0.193 0.000
As1 As 0.003 0.377 0.500
Pd1 Pd 0.000 0.500 0.000
```